[1]
VASP calculation (SCAN) on a PBEsol-optimized structure of CaSnIr3.

```
CaSnIr3
1.0
4.841 0.000 0.000
0.000 4.841 0.000
0.000 0.000 4.841
Ca Sn Ir
1 1 3
Cartesian
0.000 0.000 0.000
2.420 2.420 2.420
0.000 2.420 2.420
2.420 0.000 2.420
2.420 2.420 0.000
```

Summary:
Uncorrected energy = -50.68 eV/atom
Space-group type = Pm-3m (221)
Calculated formation energy = 25.33 kcal/mol of atoms
Volume = 22.7 A^3/atom

=====

[2]
VASP calculation (SCAN) on a PBEsol-optimized structure of ScAlBi2.

```
ScAlBi2
1.0
-3.358 3.358 6.103
3.358 -3.358 6.103
3.358 3.358 -6.103
Sc Al Bi
2 2 4
Cartesian
0.000 0.000 0.000
0.000 3.358 3.051
3.358 0.000 3.051
0.000 0.000 6.103
1.679 -1.561 4.577
1.798 1.679 1.526
1.679 4.919 -1.526
1.561 1.679 7.628
```

Summary:
Uncorrected energy = -44.84 eV/atom
Space-group type = I-42d (122)
Calculated formation energy = -1.24 kcal/mol of atoms
Volume = 34.4 A^3/atom

=====

[3]
VASP calculation (SCAN) on a PBEsol-optimized structure of Ga2S3O12.

```
Ga2S3O12
1.0
4.049 2.338 7.348
-4.049 2.338 7.348
0.000 -4.675 7.348
Ga S O
4 6 24
Cartesian
0.000 0.000 3.178
0.000 0.000 7.687
0.000 0.000 14.359
0.000 0.000 18.867
-2.881 -0.293 9.173
-1.187 -2.642 12.872
1.694 -2.349 9.173
-1.694 2.349 12.872
1.187 2.642 9.173
2.881 0.293 12.872
-3.155 -0.964 10.456
-2.533 -2.060 12.722
-3.050 1.163 9.323
-0.221 -1.598 6.576
-1.482 -0.600 8.813
-0.743 -3.214 11.589
-1.274 0.990 6.576
0.518 -3.223 9.323
-2.412 2.251 11.589
-0.221 -1.584 13.233
-1.495 -0.608 15.470
1.261 -0.983 8.813
-1.261 0.983 13.233
1.495 0.608 6.576
0.221 1.584 8.813
2.412 -2.251 10.456
-0.518 3.223 12.722
1.274 -0.990 15.470
0.743 3.214 10.456
1.482 0.600 13.233
0.221 1.598 15.470
3.050 -1.163 12.722
2.533 2.060 9.323
3.155 0.964 11.589
```

Summary:
Uncorrected formation energy = -1695.9 meV per atom
Uncorrected energy = -9.72 eV/atom
Space-group type = R-3 (148)
Volume = 12.3 A^3/atom